A relaxed structure of K2NaMn2F7. Source: Alexandria, functional PBE with a Hubbard U.

Space-group type: No. 139
Theoretical density: 2.9 g cm⁻³
DOS(E_F): 0.000 states/eV/atom
Magnetization: 10.0 μB/cell
Total DFT energy (no corrections): -5.34 eV per atom

a b c (Å): 4.2249 4.2249 11.2531
angles (deg): 79.20 79.20 90.01
Last column: nearest neighbours and their distance in Å.
Atoms (fractional coordinates):
F 0.5000 0.5000 0.0000  2 Mn 2.11
F 0.0938 0.5941 0.8128  2 Mn 2.11
F 0.9062 0.4059 0.1872  2 Mn 2.11
F 0.3055 0.3055 0.3901  1 Mn 2.13
F 0.4059 0.9062 0.1872  2 Mn 2.11
F 0.5941 0.0938 0.8128  2 Mn 2.11
F 0.6945 0.6945 0.6099  1 Mn 2.13
Mn 0.4028 0.4028 0.1941  6 F 2.11-2.13
Mn 0.5972 0.5972 0.8059  6 F 2.11-2.13
K 0.8148 0.8148 0.3698  5 F 2.60-2.90
K 0.1852 0.1852 0.6302  5 F 2.60-2.90
Na 0.0000 0.0000 0.0000  12 F 2.93-2.99